Entry 1:
A geometry-optimized Hg12Au5Cl3 structure, computed with PBE.

```
data_Hg12Au5Cl3
_cell_length_a 14.8719
_cell_length_b 14.8719
_cell_length_c 14.8719
_cell_angle_alpha 109.47
_cell_angle_beta 109.47
_cell_angle_gamma 109.47
_space_group_name_H-M_alt 'P 1'
_space_group_IT_number 1
loop_
_space_group_symop_operation_xyz
'x,y,z'
loop_
_atom_site_label
_atom_site_type_symbol
_atom_site_fract_x
_atom_site_fract_y
_atom_site_fract_z
Hg1 Hg 0.0347 0.2132 0.0942
Hg2 Hg 0.0347 0.3215 0.9405
Hg3 Hg 0.0595 0.5942 0.3810
Hg4 Hg 0.0595 0.9653 0.6785
Hg5 Hg 0.0942 0.0347 0.2132
Hg6 Hg 0.0942 0.5595 0.8810
Hg7 Hg 0.1190 0.7132 0.6785
Hg8 Hg 0.1190 0.9058 0.4405
Hg9 Hg 0.1785 0.2132 0.6190
Hg10 Hg 0.1785 0.4653 0.5595
Hg11 Hg 0.2132 0.0942 0.0347
Hg12 Hg 0.2132 0.6190 0.1785
Hg13 Hg 0.2868 0.3215 0.8810
Hg14 Hg 0.2868 0.4653 0.4058
Hg15 Hg 0.3215 0.8810 0.2868
Hg16 Hg 0.3215 0.9405 0.0347
Hg17 Hg 0.3810 0.0595 0.5942
Hg18 Hg 0.3810 0.8215 0.7868
Hg19 Hg 0.4058 0.2868 0.4653
Hg20 Hg 0.4058 0.6190 0.9405
Hg21 Hg 0.4405 0.1190 0.9058
Hg22 Hg 0.4405 0.8215 0.5347
Hg23 Hg 0.4653 0.4058 0.2868
Hg24 Hg 0.4653 0.5595 0.1785
Hg25 Hg 0.5347 0.4405 0.8215
Hg26 Hg 0.5347 0.5942 0.7132
Hg27 Hg 0.5595 0.1785 0.4653
Hg28 Hg 0.5595 0.8810 0.0942
Hg29 Hg 0.5942 0.3810 0.0595
Hg30 Hg 0.5942 0.7132 0.5347
Hg31 Hg 0.6190 0.1785 0.2132
Hg32 Hg 0.6190 0.9405 0.4058
Hg33 Hg 0.6785 0.0595 0.9653
Hg34 Hg 0.6785 0.1190 0.7132
Hg35 Hg 0.7132 0.5347 0.5942
Hg36 Hg 0.7132 0.6785 0.1190
Hg37 Hg 0.7868 0.3810 0.8215
Hg38 Hg 0.7868 0.9058 0.9653
Hg39 Hg 0.8215 0.5347 0.4405
Hg40 Hg 0.8215 0.7868 0.3810
Hg41 Hg 0.8810 0.0942 0.5595
Hg42 Hg 0.8810 0.2868 0.3215
Hg43 Hg 0.9058 0.4405 0.1190
Hg44 Hg 0.9058 0.9653 0.7868
Hg45 Hg 0.9405 0.0347 0.3215
Hg46 Hg 0.9405 0.4058 0.6190
Hg47 Hg 0.9653 0.6785 0.0595
Hg48 Hg 0.9653 0.7868 0.9058
Au1 Au 0.0000 0.0000 0.0000
Au2 Au 0.0000 0.0000 0.5000
Au3 Au 0.0000 0.5000 0.0000
Au4 Au 0.0000 0.5000 0.5000
Au5 Au 0.1250 0.7500 0.8750
Au6 Au 0.1250 0.8750 0.2500
Au7 Au 0.2500 0.1250 0.8750
Au8 Au 0.2500 0.6250 0.3750
Au9 Au 0.3750 0.2500 0.6250
Au10 Au 0.3750 0.6250 0.7500
Au11 Au 0.5000 0.0000 0.0000
Au12 Au 0.5000 0.0000 0.5000
Au13 Au 0.5000 0.5000 0.0000
Au14 Au 0.5000 0.5000 0.5000
Au15 Au 0.6250 0.3750 0.2500
Au16 Au 0.6250 0.7500 0.3750
Au17 Au 0.7500 0.3750 0.6250
Au18 Au 0.7500 0.8750 0.1250
Au19 Au 0.8750 0.1250 0.7500
Au20 Au 0.8750 0.2500 0.1250
Cl1 Cl 0.1250 0.2500 0.3750
Cl2 Cl 0.1250 0.3750 0.7500
Cl3 Cl 0.2500 0.3750 0.1250
Cl4 Cl 0.2500 0.8750 0.6250
Cl5 Cl 0.3750 0.1250 0.2500
Cl6 Cl 0.3750 0.7500 0.1250
Cl7 Cl 0.6250 0.2500 0.8750
Cl8 Cl 0.6250 0.8750 0.7500
Cl9 Cl 0.7500 0.1250 0.3750
Cl10 Cl 0.7500 0.6250 0.8750
Cl11 Cl 0.8750 0.6250 0.2500
Cl12 Cl 0.8750 0.7500 0.6250
```


Entry 2:
A geometry-optimized HgAuCl structure, computed with PBE.

```
data_HgAuCl
_cell_length_a 11.8379
_cell_length_b 4.0840
_cell_length_c 4.0840
_cell_angle_alpha 60.01
_cell_angle_beta 90.00
_cell_angle_gamma 90.00
_space_group_name_H-M_alt 'P 1'
_space_group_IT_number 1
loop_
_space_group_symop_operation_xyz
'x,y,z'
loop_
_atom_site_label
_atom_site_type_symbol
_atom_site_fract_x
_atom_site_fract_y
_atom_site_fract_z
Hg1 Hg 0.0000 0.0000 0.0000
Hg2 Hg 0.5000 0.0014 0.0014
Au1 Au 0.3725 0.6680 0.6680
Au2 Au 0.6275 0.6680 0.6680
Cl1 Cl 0.2640 0.3346 0.3346
Cl2 Cl 0.7360 0.3346 0.3346
```

Output
For the relative energy among the computed polymorphs, the calculation gives 0 meV per atom.


Entry 3:
A geometry-optimized HgAuCl4 structure, computed with PBE.

```
data_HgAuCl4
_cell_length_a 6.3183
_cell_length_b 6.3183
_cell_length_c 6.3183
_cell_angle_alpha 108.56
_cell_angle_beta 108.56
_cell_angle_gamma 111.32
_space_group_name_H-M_alt 'P 1'
_space_group_IT_number 1
loop_
_space_group_symop_operation_xyz
'x,y,z'
loop_
_atom_site_label
_atom_site_type_symbol
_atom_site_fract_x
_atom_site_fract_y
_atom_site_fract_z
Hg1 Hg 0.0000 0.0000 0.0000
Au1 Au 0.2500 0.7500 0.5000
Cl1 Cl 0.0681 0.0206 0.6260
Cl2 Cl 0.3945 0.4421 0.3740
Cl3 Cl 0.5579 0.9319 0.9525
Cl4 Cl 0.9794 0.6055 0.0475
```

Output
For the relative energy among the computed polymorphs, the calculation gives 29 meV per atom.


Entry 4:
A geometry-optimized Hg5Au3Cl12 structure, computed with PBE.

```
data_Hg5Au3Cl12
_cell_length_a 14.6065
_cell_length_b 14.6065
_cell_length_c 14.6065
_cell_angle_alpha 109.47
_cell_angle_beta 109.47
_cell_angle_gamma 109.47
_space_group_name_H-M_alt 'P 1'
_space_group_IT_number 1
loop_
_space_group_symop_operation_xyz
'x,y,z'
loop_
_atom_site_label
_atom_site_type_symbol
_atom_site_fract_x
_atom_site_fract_y
_atom_site_fract_z
Hg1 Hg 0.0000 0.0000 0.0000
Hg2 Hg 0.0000 0.0000 0.5000
Hg3 Hg 0.0000 0.5000 0.0000
Hg4 Hg 0.0000 0.5000 0.5000
Hg5 Hg 0.1250 0.7500 0.8750
Hg6 Hg 0.1250 0.8750 0.2500
Hg7 Hg 0.2500 0.1250 0.8750
Hg8 Hg 0.2500 0.6250 0.3750
Hg9 Hg 0.3750 0.2500 0.6250
Hg10 Hg 0.3750 0.6250 0.7500
Hg11 Hg 0.5000 0.0000 0.0000
Hg12 Hg 0.5000 0.0000 0.5000
Hg13 Hg 0.5000 0.5000 0.0000
Hg14 Hg 0.5000 0.5000 0.5000
Hg15 Hg 0.6250 0.3750 0.2500
Hg16 Hg 0.6250 0.7500 0.3750
Hg17 Hg 0.7500 0.3750 0.6250
Hg18 Hg 0.7500 0.8750 0.1250
Hg19 Hg 0.8750 0.1250 0.7500
Hg20 Hg 0.8750 0.2500 0.1250
Au1 Au 0.1250 0.2500 0.3750
Au2 Au 0.1250 0.3750 0.7500
Au3 Au 0.2500 0.3750 0.1250
Au4 Au 0.2500 0.8750 0.6250
Au5 Au 0.3750 0.1250 0.2500
Au6 Au 0.3750 0.7500 0.1250
Au7 Au 0.6250 0.2500 0.8750
Au8 Au 0.6250 0.8750 0.7500
Au9 Au 0.7500 0.1250 0.3750
Au10 Au 0.7500 0.6250 0.8750
Au11 Au 0.8750 0.6250 0.2500
Au12 Au 0.8750 0.7500 0.6250
Cl1 Cl 0.0237 0.6547 0.1862
Cl2 Cl 0.0237 0.8690 0.8376
Cl3 Cl 0.0314 0.1624 0.6862
Cl4 Cl 0.0314 0.3690 0.3453
Cl5 Cl 0.1310 0.1624 0.9763
Cl6 Cl 0.1310 0.4686 0.1547
Cl7 Cl 0.1547 0.1310 0.4686
Cl8 Cl 0.1547 0.5237 0.6862
Cl9 Cl 0.1624 0.6862 0.0314
Cl10 Cl 0.1624 0.9763 0.1310
Cl11 Cl 0.1862 0.0237 0.6547
Cl12 Cl 0.1862 0.6624 0.5314
Cl13 Cl 0.3138 0.8453 0.4763
Cl14 Cl 0.3138 0.9686 0.8376
Cl15 Cl 0.3376 0.3690 0.5237
Cl16 Cl 0.3376 0.4686 0.8138
Cl17 Cl 0.3453 0.0314 0.3690
Cl18 Cl 0.3453 0.8138 0.9763
Cl19 Cl 0.3690 0.3453 0.0314
Cl20 Cl 0.3690 0.5237 0.3376
Cl21 Cl 0.4686 0.1547 0.1310
Cl22 Cl 0.4686 0.8138 0.3376
Cl23 Cl 0.4763 0.3138 0.8453
Cl24 Cl 0.4763 0.6624 0.6310
Cl25 Cl 0.5237 0.3376 0.3690
Cl26 Cl 0.5237 0.6862 0.1547
Cl27 Cl 0.5314 0.1862 0.6624
Cl28 Cl 0.5314 0.8453 0.8690
Cl29 Cl 0.6310 0.4763 0.6624
Cl30 Cl 0.6310 0.6547 0.9686
Cl31 Cl 0.6547 0.1862 0.0237
Cl32 Cl 0.6547 0.9686 0.6310
Cl33 Cl 0.6624 0.5314 0.1862
Cl34 Cl 0.6624 0.6310 0.4763
Cl35 Cl 0.6862 0.0314 0.1624
Cl36 Cl 0.6862 0.1547 0.5237
Cl37 Cl 0.8138 0.3376 0.4686
Cl38 Cl 0.8138 0.9763 0.3453
Cl39 Cl 0.8376 0.0237 0.8690
Cl40 Cl 0.8376 0.3138 0.9686
Cl41 Cl 0.8453 0.4763 0.3138
Cl42 Cl 0.8453 0.8690 0.5314
Cl43 Cl 0.8690 0.5314 0.8453
Cl44 Cl 0.8690 0.8376 0.0237
Cl45 Cl 0.9686 0.6310 0.6547
Cl46 Cl 0.9686 0.8376 0.3138
Cl47 Cl 0.9763 0.1310 0.1624
Cl48 Cl 0.9763 0.3453 0.8138
```


Entry 5:
A geometry-optimized Hg4AuCl structure, computed with PBE.

```
data_Hg4AuCl
_cell_length_a 5.9583
_cell_length_b 5.9583
_cell_length_c 5.9583
_cell_angle_alpha 60.00
_cell_angle_beta 60.00
_cell_angle_gamma 60.00
_space_group_name_H-M_alt 'P 1'
_space_group_IT_number 1
loop_
_space_group_symop_operation_xyz
'x,y,z'
loop_
_atom_site_label
_atom_site_type_symbol
_atom_site_fract_x
_atom_site_fract_y
_atom_site_fract_z
Hg1 Hg 0.1248 0.1248 0.1248
Hg2 Hg 0.1248 0.1248 0.6257
Hg3 Hg 0.1248 0.6257 0.1248
Hg4 Hg 0.6257 0.1248 0.1248
Au1 Au 0.7500 0.7500 0.7500
Cl1 Cl 0.5000 0.5000 0.5000
```

Output
For the relative energy among the computed polymorphs, the calculation gives 314 meV per atom.


Entry 6:
A geometry-optimized HgAu4Cl2 structure, computed with PBE.

```
data_HgAu4Cl2
_cell_length_a 7.6496
_cell_length_b 7.6496
_cell_length_c 7.6496
_cell_angle_alpha 138.78
_cell_angle_beta 138.78
_cell_angle_gamma 59.72
_space_group_name_H-M_alt 'P 1'
_space_group_IT_number 1
loop_
_space_group_symop_operation_xyz
'x,y,z'
loop_
_atom_site_label
_atom_site_type_symbol
_atom_site_fract_x
_atom_site_fract_y
_atom_site_fract_z
Hg1 Hg 0.0000 0.0000 0.0000
Au1 Au 0.0000 0.5000 0.5000
Au2 Au 0.2001 0.2001 0.0000
Au3 Au 0.5000 0.0000 0.5000
Au4 Au 0.7999 0.7999 0.0000
Cl1 Cl 0.3775 0.3775 0.0000
Cl2 Cl 0.6225 0.6225 0.0000
```


Entry 7:
A geometry-optimized HgAuCl6 structure, computed with PBE.

```
data_HgAuCl6
_cell_length_a 6.5381
_cell_length_b 6.5381
_cell_length_c 7.9008
_cell_angle_alpha 100.70
_cell_angle_beta 100.70
_cell_angle_gamma 119.87
_space_group_name_H-M_alt 'P 1'
_space_group_IT_number 1
loop_
_space_group_symop_operation_xyz
'x,y,z'
loop_
_atom_site_label
_atom_site_type_symbol
_atom_site_fract_x
_atom_site_fract_y
_atom_site_fract_z
Hg1 Hg 0.0000 0.0000 0.0000
Au1 Au 0.0000 0.0000 0.5000
Cl1 Cl 0.1148 0.8221 0.6945
Cl2 Cl 0.1779 0.8852 0.3055
Cl3 Cl 0.4117 0.4117 0.1251
Cl4 Cl 0.5883 0.5883 0.8749
Cl5 Cl 0.8221 0.1148 0.6945
Cl6 Cl 0.8852 0.1779 0.3055
```

Output
For the relative energy among the computed polymorphs, the calculation gives 0 meV per atom.


Entry 8:
A geometry-optimized Hg2Au2Cl structure, computed with PBE.

```
data_Hg2Au2Cl
_cell_length_a 7.7970
_cell_length_b 7.7970
_cell_length_c 7.7970
_cell_angle_alpha 150.45
_cell_angle_beta 150.45
_cell_angle_gamma 42.28
_space_group_name_H-M_alt 'P 1'
_space_group_IT_number 1
loop_
_space_group_symop_operation_xyz
'x,y,z'
loop_
_atom_site_label
_atom_site_type_symbol
_atom_site_fract_x
_atom_site_fract_y
_atom_site_fract_z
Hg1 Hg 0.0985 0.0985 0.0000
Hg2 Hg 0.9015 0.9015 0.0000
Au1 Au 0.2500 0.7500 0.5000
Au2 Au 0.7500 0.2500 0.5000
Cl1 Cl 0.5000 0.5000 0.0000
```

Output
For the relative energy among the computed polymorphs, the calculation gives 0 meV per atom.


no.,total energy (eV per atom),V (Å³/f.u.)
1,-1.27,633.02
2,-1.92,85.51
3,-2.18,194.02
4,-1.94,599.73
5,-0.86,149.57
6,-1.98,192.45
7,-2.11,272.03
8,-1.86,115.01